Entry 1:
This record from Alexandria describes crystalline Cs3SbSe3 at its relaxed geometry. The functional is GGA-PBEsol.

The space group is P2_13 (No. 198) and the conventional cell measures 10.5366, 10.5366 and 10.5366 Å, with angles of 90.00, 90.00 and 90.00 degrees. The inequivalent atoms are Cs at (0.0746, 0.0746, 0.0746), Cs at (0.1827, 0.3173, 0.6827), Cs at (0.1882, 0.6882, 0.8118), Sb at (0.0268, 0.9732, 0.4732) and Se at (0.0057, 0.2058, 0.4005).

=====

Entry 2:
This record from Alexandria describes crystalline Cs3SbSe4 at its relaxed geometry. The functional is GGA-PBEsol.

The space group is Pnma (No. 62) and the conventional cell measures 9.9942, 11.8262 and 10.5699 Å, with angles of 90.00, 90.00 and 90.00 degrees. The inequivalent atoms are Cs at (0.0565, 0.0424, 0.1916), Cs at (0.1545, 0.7500, 0.4143), Sb at (0.2388, 0.7500, 0.9730), Se at (0.0170, 0.7500, 0.0851), Se at (0.1343, 0.0728, 0.5264) and Se at (0.1911, 0.7500, 0.7414).

=====

Entry 3:
This record from Alexandria describes crystalline Cs3Sb5Se9 at its relaxed geometry. The functional is GGA-PBEsol.

The space group is C2/m (No. 12) and the conventional cell measures 9.4568, 25.7487 and 9.5317 Å, with angles of 90.00, 106.15 and 90.00 degrees. The inequivalent atoms are Cs at (0.0000, 0.0806, 0.0000), Cs at (0.2306, 0.2825, 0.2617), Sb at (0.0000, 0.0753, 0.5000), Sb at (0.0000, 0.4242, 0.0000), Sb at (0.1157, 0.5000, 0.3815), Sb at (0.1586, 0.3807, 0.6599), Se at (0.0000, 0.3065, 0.5000), Se at (0.0909, 0.1575, 0.3426), Se at (0.1352, 0.5000, 0.8699), Se at (0.1365, 0.0000, 0.3677), Se at (0.1584, 0.3409, 0.9070) and Se at (0.2282, 0.4219, 0.2715).

=====

Entry 4:
This record from Alexandria describes crystalline CsSb3Se at its relaxed geometry. The functional is GGA-PBEsol.

The space group is Pm-3m (No. 221) and the conventional cell measures 5.5389, 5.5389 and 5.5389 Å, with angles of 90.00, 90.00 and 90.00 degrees. The inequivalent atoms are Cs at (0.0000, 0.0000, 0.0000), Sb at (0.0000, 0.5000, 0.5000) and Se at (0.5000, 0.5000, 0.5000).

=====

Entry 5:
This record from Alexandria describes crystalline Cs2Si2Sb at its relaxed geometry. The functional is GGA-PBEsol.

The space group is P4/mbm (No. 127) and the conventional cell measures 7.2846, 7.2846 and 5.9437 Å, with angles of 90.00, 90.00 and 90.00 degrees. The inequivalent atoms are Cs at (0.2016, 0.2984, 0.0000), Si at (0.1092, 0.6092, 0.5000) and Sb at (0.0000, 0.0000, 0.5000).

=====

Entry 6:
This record from Alexandria describes crystalline CsSi2SnSb at its relaxed geometry. The functional is GGA-PBEsol.

The space group is P4/mmm (No. 123) and the conventional cell measures 5.1975, 5.1975 and 6.2479 Å, with angles of 90.00, 90.00 and 90.00 degrees. The inequivalent atoms are Cs at (0.0000, 0.0000, 0.0000), Si at (0.0000, 0.5000, 0.5000), Sn at (0.0000, 0.0000, 0.5000) and Sb at (0.5000, 0.5000, 0.0000).

=====

Entry 7:
This record from Alexandria describes crystalline CsSnSb2Te at its relaxed geometry. The functional is GGA-PBEsol.

The space group is P4/mmm (No. 123) and the conventional cell measures 5.6991, 5.6991 and 5.8801 Å, with angles of 90.00, 90.00 and 90.00 degrees. The inequivalent atoms are Cs at (0.0000, 0.0000, 0.0000), Sn at (0.5000, 0.5000, 0.5000), Sb at (0.0000, 0.5000, 0.5000) and Te at (0.5000, 0.5000, 0.0000).

=====

Entry 8:
This record from Alexandria describes crystalline CsSr2Sb2 at its relaxed geometry. The functional is GGA-PBEsol.

The space group is P4/mbm (No. 127) and the conventional cell measures 9.6608, 9.6608 and 3.7719 Å, with angles of 90.00, 90.00 and 90.00 degrees. The inequivalent atoms are Cs at (0.0000, 0.0000, 0.0000), Sr at (0.1314, 0.3686, 0.0000) and Sb at (0.1644, 0.6644, 0.5000).

=====

Entry 9:
This record from Alexandria describes crystalline CsTaSb3 at its relaxed geometry. The functional is GGA-PBEsol.

The space group is Pm-3m (No. 221) and the conventional cell measures 5.4127, 5.4127 and 5.4127 Å, with angles of 90.00, 90.00 and 90.00 degrees. The inequivalent atoms are Cs at (0.0000, 0.0000, 0.0000), Ta at (0.5000, 0.5000, 0.5000) and Sb at (0.0000, 0.5000, 0.5000).

=====

Entry 10:
This record from Alexandria describes crystalline Cs2TaSbW at its relaxed geometry. The functional is GGA-PBEsol.

The space group is P4/mmm (No. 123) and the conventional cell measures 5.8959, 5.8959 and 5.1805 Å, with angles of 90.00, 90.00 and 90.00 degrees. The inequivalent atoms are Cs at (0.0000, 0.5000, 0.0000), Ta at (0.0000, 0.0000, 0.5000), Sb at (0.5000, 0.5000, 0.5000) and W at (0.5000, 0.5000, 0.0000).

=====

Entry 11:
This record from Alexandria describes crystalline CsSbTe2 at its relaxed geometry. The functional is GGA-PBEsol.

The space group is I-42d (No. 122) and the conventional cell measures 8.8652, 8.8652 and 9.2122 Å, with angles of 90.00, 90.00 and 90.00 degrees. The inequivalent atoms are Cs at (0.0000, 0.0000, 0.0000), Sb at (0.0000, 0.0000, 0.5000) and Te at (0.1737, 0.7500, 0.6250).

=====

Entry 12:
This record from Alexandria describes crystalline CsTiSbTe2 at its relaxed geometry. The functional is GGA-PBEsol.

The space group is P4/mmm (No. 123) and the conventional cell measures 5.9840, 5.9840 and 5.9570 Å, with angles of 90.00, 90.00 and 90.00 degrees. The inequivalent atoms are Cs at (0.0000, 0.0000, 0.0000), Ti at (0.5000, 0.5000, 0.5000), Sb at (0.0000, 0.0000, 0.5000) and Te at (0.0000, 0.5000, 0.0000).

=====

Listing magnetic moment for the structures above in their given order: 0.000, 0.000, 0.000, 0.000, 0.000, 0.000, 0.006, 0.000, 0.000, 0.599, 0.000, 0.337 μB per atom.
Listing raw formation energy for the structures above in their given order: -0.96, -0.88, -0.58, 0.25, 0.06, 1.03, 0.16, -0.83, 0.02, 2.26, -0.35, 1.57 eV/atom.